Entry 1:
Density functional theory data (GGA-PBE) for CrIr2Pb after structural relaxation.

## Properties
- Total moment: 2.41 μB/f.u.
- Energy: -29.61 eV per cell
- Symmetry: I-4m2 (119)
- ΔH_f (0 K): 0.361 eV per atom

Lattice parameters (Å, degrees): 4.9481 4.9481 4.9481 131.98 131.98 70.26
Closest atoms and distances in Å follow each position.
Positions (direct):
Cr  0.0000  0.0000  0.0000  8 Ir 2.85, 4 Pb 2.85
Ir  0.2500  0.7500  0.5000  4 Pb 2.85, 4 Ir 2.85, 4 Cr 2.85
Ir  0.5000  0.5000  0.0000  4 Cr 2.85, 4 Pb 2.85, 4 Ir 2.85
Pb  0.7500  0.2500  0.5000  8 Ir 2.85, 4 Cr 2.85

Entry 2:
Density functional theory data (GGA-PBE) for Re2RuAu after structural relaxation.

## Properties
- Total moment: 0.00 μB/f.u.
- Energy: -36.02 eV per cell
- Symmetry: P2/m (10)
- ΔH_f (0 K): 0.357 eV per atom
- Offset from the most stable computed form: 144 meV/atom

Lattice parameters (Å, degrees): 4.7605 2.7953 4.8331 90.00 109.03 90.00
Closest atoms and distances in Å follow each position.
Positions (direct):
Re  0.0000  0.0000  0.0000  6 Re 2.76-2.80, 2 Au 2.78, 4 Ru 2.79
Re  0.5000  0.5000  0.0000  6 Re 2.76-2.80, 2 Ru 2.78, 4 Au 2.79
Ru  0.0000  0.5000  0.5000  4 Au 2.76, 6 Re 2.78-2.79, 2 Ru 2.80
Au  0.5000  0.0000  0.5000  4 Ru 2.76, 6 Re 2.78-2.79, 2 Au 2.80

Entry 3:
Density functional theory data (GGA-PBE) for Dy3Cu3Pt after structural relaxation.

## Properties
- Total moment: 0.00 μB/f.u.
- Energy: -71.28 eV per cell
- Symmetry: Cmcm (63)
- ΔH_f (0 K): -0.501 eV per atom

Lattice parameters (Å, degrees): 5.4065 5.4065 14.2390 90.00 90.00 137.30
Closest atoms and distances in Å follow each position.
Positions (direct):
Dy  0.0471  0.9529  0.7500  7 Cu 2.88-2.93
Dy  0.3306  0.6694  0.5933  6 Cu 2.85-3.07, 2 Pt 2.92
Dy  0.3306  0.6694  0.9067  6 Cu 2.85-3.07, 2 Pt 2.92
Dy  0.6694  0.3306  0.0933  6 Cu 2.85-3.07, 2 Pt 2.92
Dy  0.6694  0.3306  0.4067  6 Cu 2.85-3.07, 2 Pt 2.92
Dy  0.9529  0.0471  0.2500  7 Cu 2.88-2.93
Cu  0.2440  0.7560  0.2500  2 Cu 2.52
Cu  0.3865  0.6135  0.1048  1 Cu 2.52, 2 Pt 2.72
Cu  0.3865  0.6135  0.3952  1 Cu 2.52, 2 Pt 2.72
Cu  0.6135  0.3865  0.6048  1 Cu 2.52, 2 Pt 2.72
Cu  0.6135  0.3865  0.8952  1 Cu 2.52, 2 Pt 2.72
Cu  0.7560  0.2440  0.7500  2 Cu 2.52
Pt  0.0000  0.0000  0.0000  4 Cu 2.72, 4 Dy 2.92
Pt  0.0000  0.0000  0.5000  4 Cu 2.72, 4 Dy 2.92

What is the ΔH_f (0 K) in the first record?
0.361 eV per atom